(1)
SrBeRu2: optimized geometry, GGA-PBE.

Computed properties:
The raw total energy is -87.4 eV for the cell shown. The value obtained for the formation energy is 0.530 eV per atom.

Cell lengths 4.6749, 4.6749, 16.1561 Å; angles 90.00, 90.00, 90.00 degrees
Closest atoms and distances in Å follow each position.
Space group I4_1/amd (No. 141, origin choice 2)
One atom of each set of equivalent atoms:
Sr: 0.0000 0.2500 0.3750 (multiplicity 4)  8 Ru 3.30, 4 Be 3.31
Be: 0.0000 0.2500 0.8750 (multiplicity 4)  4 Ru 2.33
Ru: 0.0000 0.0000 0.0000 (multiplicity 8)  2 Be 2.33, 2 Ru 2.34

---

(2)
Tc2SbAs: optimized geometry, GGA-PBE.

Computed properties:
The raw total energy is -57.9 eV for the cell shown. The energy above the most stable polymorph in this dataset comes out at 138.1 meV/atom. The value obtained for the raw formation energy is 145 meV/atom.

Cell lengths 8.0538, 3.1074, 5.5601 Å; angles 90.00, 102.41, 90.00 degrees
Closest atoms and distances in Å follow each position.
Space group C2/m (No. 12)
One atom of each set of equivalent atoms:
Tc: 0.2494 0.0000 0.2107 (multiplicity 4)  3 As 2.54-2.61, 3 Sb 2.77-2.83, 2 Tc 2.81
Sb: 0.0000 0.0000 0.5000 (multiplicity 2)  6 Tc 2.77-2.83
As: 0.0000 0.5000 0.0000 (multiplicity 2)  6 Tc 2.54-2.61

---

(3)
Tb5Ho2TmSc: optimized geometry, GGA-PBE.

Computed properties:
The raw total energy is -166.6 eV for the cell shown. The value obtained for the formation energy is 0.162 eV per atom.

Cell lengths 5.4966, 19.9787, 10.3243 Å; angles 90.00, 90.00, 90.00 degrees
Closest atoms and distances in Å follow each position.
Space group Cmc2_1 (No. 36)
One atom of each set of equivalent atoms:
Tb: 0.0000 0.0162 0.0000 (multiplicity 4)  2 Tm 3.13-3.30, 2 Ho 3.41
Tb: 0.0000 0.1254 0.2787 (multiplicity 4)  4 Ho 3.52-3.56, 4 Tb 3.57-3.69, 1 Sc 3.60
Tb: 0.0000 0.1996 0.9639 (multiplicity 4)  1 Tm 3.31, 4 Tb 3.35-3.68, 2 Sc 3.38, 2 Ho 3.44
Tb: 0.0000 0.2256 0.5793 (multiplicity 4)  1 Tm 3.00, 1 Ho 3.26, 2 Tb 3.35
Tb: 0.0000 0.4835 0.2730 (multiplicity 4)  2 Tm 3.20, 4 Ho 3.32-3.58, 1 Sc 3.55
Ho: 0.0000 0.3856 0.9964 (multiplicity 4)  1 Sc 3.28, 6 Tb 3.46-3.64, 2 Tm 3.60
Ho: 0.0000 0.3888 0.5676 (multiplicity 4)  9 Tb 3.26-3.58, 1 Sc 3.46
Tm: 0.0000 0.0933 0.7174 (multiplicity 4)  6 Tb 3.00-3.31
Sc: 0.0000 0.3058 0.2740 (multiplicity 4)  2 Ho 3.28-3.46, 7 Tb 3.38-3.60, 2 Tm 3.46